## TaCoMoOs (GGA-PBE)

Data for a relaxed TaCoMoOs crystal.

The structure in POSCAR format:
```
TaCoMoOs
1.0
3.743 0.000 0.000
0.000 3.917 0.000
0.000 0.000 4.008
Ta Co Mo Os
1 1 1 1
direct
0.000 0.000 0.000
0.500 0.500 0.000
0.000 0.500 0.500
0.500 0.000 0.500
```

Summary:
Formation enthalpy at 0 K   -0.0515 eV/atom
Mass density   14.86 g/cm³
V   58.77 Å³ per cell
Energy above the most stable polymorph in this dataset   0.0 meV per atom


## TaCoMoOs (GGA-PBE)

Data for a relaxed TaCoMoOs crystal.

The structure in POSCAR format:
```
TaCoMoOs
1.0
2.859 0.000 0.000
-0.007 4.691 0.000
-1.417 -0.856 4.452
Ta Co Mo Os
1 1 1 1
direct
0.000 0.000 0.000
0.255 0.810 0.511
0.772 0.322 0.544
0.524 0.522 0.048
```

Summary:
Formation enthalpy at 0 K   0.0293 eV/atom
Mass density   14.63 g/cm³
V   59.71 Å³ per cell
Energy above the most stable polymorph in this dataset   80.7 meV per atom